Material: LaSbIr2
Method: DFT, GGA-PBE
State: optimized geometry

a = 3.8979 Å, b = 3.8979 Å, c = 5.7308 Å
α = 90.00°, β = 90.00°, γ = 90.00°
Element x y z (fractional)
La 0.0000 0.0000 0.0000
Sb 0.5000 0.5000 0.3800
Ir 0.0000 0.0000 0.4930
Ir 0.5000 0.5000 0.8460

Values from the calculation:
The spin magnetization is 0.00 μB per cell. Its symmetry is P4mm (99). The total energy comes out at -27.54 eV/f.u.


Material: Er4InAg
Method: DFT, GGA-PBE
State: optimized geometry

a = 6.1315 Å, b = 9.2691 Å, c = 6.0376 Å
α = 90.00°, β = 108.13°, γ = 90.00°
Element x y z (fractional)
Er 0.0907 0.1651 0.1005
Er 0.0907 0.3349 0.6005
Er 0.4003 0.6604 0.9206
Er 0.4003 0.8396 0.4206
Er 0.5997 0.1604 0.5794
Er 0.5997 0.3396 0.0794
Er 0.9093 0.6651 0.3995
Er 0.9093 0.8349 0.8995
In 0.5000 0.0000 0.0000
In 0.5000 0.5000 0.5000
Ag 0.0000 0.0000 0.5000
Ag 0.0000 0.5000 0.0000

Values from the calculation:
The spin magnetization is 0.00 μB per cell. Its symmetry is P2_1/c (14). As for the formation energy: -0.11 eV/atom.


Material: Na2Cu2PtO6
Method: DFT, GGA-PBE
State: optimized geometry

a = 5.2337 Å, b = 5.2337 Å, c = 5.5597 Å
α = 90.00°, β = 90.00°, γ = 120.00°
Element x y z (fractional)
Na 0.3333 0.6667 0.0000
Na 0.6667 0.3333 0.0000
Cu 0.3333 0.6667 0.5000
Cu 0.6667 0.3333 0.5000
Pt 0.0000 0.0000 0.5000
O 0.0000 0.3331 0.3107
O 0.0000 0.6669 0.6893
O 0.3331 0.0000 0.3107
O 0.3331 0.3331 0.6893
O 0.6669 0.0000 0.6893
O 0.6669 0.6669 0.3107

Values from the calculation:
The spin magnetization is 4.02 μB per cell. Its symmetry is P-31m (162). The total energy comes out at -55.53 eV/f.u.


Material: KPbS2
Method: DFT, GGA-PBE
State: optimized geometry

a = 4.2501 Å, b = 4.8208 Å, c = 7.0452 Å
α = 90.12°, β = 90.08°, γ = 90.01°
Element x y z (fractional)
K 0.0000 0.0000 0.0000
Pb 0.4991 0.5018 0.5089
S 0.4992 0.0022 0.6734
S 0.9983 0.5009 0.2788

Values from the calculation:
The spin magnetization is 0.00 μB per cell. Its symmetry is P1 (1). The total energy comes out at -15.39 eV/f.u.


Material: MgBiSbCl2
Method: DFT, GGA-PBE
State: optimized geometry

a = 4.6273 Å, b = 4.6273 Å, c = 7.9633 Å
α = 90.00°, β = 90.00°, γ = 90.00°
Element x y z (fractional)
Mg 0.0000 0.0000 0.0000
Bi 0.0000 0.0000 0.5000
Sb 0.5000 0.5000 0.5000
Cl 0.0000 0.5000 0.0000
Cl 0.5000 0.0000 0.0000

Values from the calculation:
The spin magnetization is 0.06 μB per cell. Its symmetry is P4/mmm (123). The total energy comes out at -16.28 eV/f.u.


Material: ScTaAsBr2
Method: DFT, GGA-PBE
State: optimized geometry

a = 5.0613 Å, b = 5.0613 Å, c = 5.1666 Å
α = 90.00°, β = 90.00°, γ = 90.00°
Element x y z (fractional)
Sc 0.0000 0.0000 0.0000
Ta 0.5000 0.5000 0.5000
As 0.5000 0.5000 0.0000
Br 0.0000 0.5000 0.5000
Br 0.5000 0.0000 0.5000

Values from the calculation:
The spin magnetization is 1.51 μB per cell. Its symmetry is P4/mmm (123). The total energy comes out at -25.45 eV/f.u.


These records have V values of 87, 326, 132, 144, 171, 132 Å³/cell, in the order they appear.